(1)
Compound: Y2SbPd2
Source: Alexandria via LeMat-Bulk
Functional: SCAN
Structure: single point on PBEsol structure

```
10
Lattice="-0.727 -3.588 0.999 -1.898 -1.584 -7.071 7.102 -1.855 -1.491" Properties=species:S:1:pos:R:3 pbc="T T T"
Pd -0.286 -1.230 -4.626
Pd 2.800 -2.546 -7.105
Pd 2.404 -0.893 -1.457
Pd 5.490 -2.208 -3.936
Y 0.385 -3.708 -5.829
Y 0.251 -2.633 -2.066
Y 4.226 -4.394 -5.497
Y 4.092 -3.319 -1.734
Sb 2.602 -1.719 -4.281
Sb 0.000 0.000 0.000
```

Results
* DOS(E_F): 7.72 states/eV/cell
* uncorrected formation energy: -5.36 eV/f.u.
* space group: No. 127

=====

(2)
Compound: Zr3SbPd
Source: Alexandria via LeMat-Bulk
Functional: SCAN
Structure: single point on PBEsol structure

```
5
Lattice="-1.067 -0.717 -4.996 5.038 -0.460 -1.010 -0.305 -5.088 0.795" Properties=species:S:1:pos:R:3 pbc="T T T"
Zr -0.533 -0.358 -2.498
Zr 2.519 -0.230 -0.505
Zr -0.153 -2.544 0.398
Pd 1.833 -3.133 -2.605
Sb 0.000 0.000 0.000
```

Results
* DOS(E_F): 3.94 states/eV/cell
* uncorrected formation energy: 4.06 eV/f.u.
* space group: No. 221

=====

(3)
Compound: ZrSbPd
Source: Alexandria via LeMat-Bulk
Functional: SCAN
Structure: single point on PBEsol structure

```
12
Lattice="-2.882 -2.017 -2.474 4.006 0.867 -5.374 3.534 -6.912 1.519" Properties=species:S:1:pos:R:3 pbc="T T T"
Pd 2.217 -0.437 -4.096
Pd 2.440 -7.625 -2.232
Pd 3.200 -4.759 -5.454
Pd 1.458 -3.303 -0.874
Zr 3.805 -4.865 -2.335
Zr 2.187 -6.049 0.517
Zr 0.852 -3.197 -3.993
Zr 2.471 -2.013 -6.845
Sb 3.928 -7.061 -4.425
Sb 0.730 -1.001 -1.903
Sb 3.753 -2.564 -4.151
Sb 0.904 -5.498 -2.177
```

Results
* DOS(E_F): 5.04 states/eV/cell
* uncorrected formation energy: -2.59 eV/f.u.
* space group: No. 62